No. 1
# InPt7Au2 (GGA-PBE, relaxed)
data_InPt7Au2
_chemical_formula_sum 'In2 Pt14 Au4'
_cell_length_a 7.207
_cell_length_b 13.654
_cell_length_c 4.317
_cell_angle_alpha 90.00
_cell_angle_beta 90.00
_cell_angle_gamma 90.00
_space_group_name_H-M_alt 'C m m m'
_space_group_IT_number 65
_space_group_name_Hall '-C 2 2'
loop_
_atom_site_label
_atom_site_type_symbol
_atom_site_fract_x
_atom_site_fract_y
_atom_site_fract_z
_atom_site_occupancy
In1 In 0.000 0.000 0.000 1
Pt1 Pt 0.000 0.189 0.000 1
Pt2 Pt 0.000 0.500 0.500 1
Pt3 Pt 0.184 0.102 0.500 1
Au1 Au 0.000 0.300 0.500 1
# Total magnetic moment in μB per atom: 0.000
# Energy of formation in eV/atom: 0.37

---

No. 2
# BeAlPd (GGA-PBE, relaxed)
data_BeAlPd
_chemical_formula_sum 'Be2 Al2 Pd2'
_cell_length_a 3.046
_cell_length_b 3.046
_cell_length_c 8.183
_cell_angle_alpha 90.00
_cell_angle_beta 90.00
_cell_angle_gamma 90.00
_space_group_name_H-M_alt 'I 4 m m'
_space_group_IT_number 107
_space_group_name_Hall 'I 4 -2'
loop_
_atom_site_label
_atom_site_type_symbol
_atom_site_fract_x
_atom_site_fract_y
_atom_site_fract_z
_atom_site_occupancy
Be1 Be 0.000 0.000 0.000 1
Al1 Al 0.000 0.000 0.327 1
Pd1 Pd 0.000 0.000 0.645 1
# Energy above the lowest structure with this stoichiometry in meV per atom: 0
# Total magnetic moment in μB per atom: 0.000
# Energy of formation in eV/atom: -0.52

---

No. 3
# KSi2Sb (GGA-PBE, relaxed)
data_KSi2Sb
_chemical_formula_sum 'K2 Si4 Sb2'
_cell_length_a 6.227
_cell_length_b 9.674
_cell_length_c 3.124
_cell_angle_alpha 90.00
_cell_angle_beta 90.00
_cell_angle_gamma 90.00
_space_group_name_H-M_alt 'C m m m'
_space_group_IT_number 65
_space_group_name_Hall '-C 2 2'
loop_
_atom_site_label
_atom_site_type_symbol
_atom_site_fract_x
_atom_site_fract_y
_atom_site_fract_z
_atom_site_occupancy
K1 K 0.000 0.000 0.000 1
Si1 Si 0.250 0.250 0.500 1
Sb1 Sb 0.000 0.500 0.000 1
# Total magnetic moment in μB per atom: 0.000
# Raw formation energy in eV per atom: 0.5859

---

No. 4
# OsI (GGA-PBE, relaxed)
data_OsI
_chemical_formula_sum 'Os4 I4'
_cell_length_a 7.898
_cell_length_b 7.898
_cell_length_c 3.375
_cell_angle_alpha 90.00
_cell_angle_beta 90.00
_cell_angle_gamma 90.00
_space_group_name_H-M_alt 'P 42/m n m'
_space_group_IT_number 136
_space_group_name_Hall '-P 4n 2n'
loop_
_atom_site_label
_atom_site_type_symbol
_atom_site_fract_x
_atom_site_fract_y
_atom_site_fract_z
_atom_site_occupancy
Os1 Os 0.117 0.117 0.000 1
I1 I 0.204 0.796 0.000 1
# Energy above the lowest structure with this stoichiometry in meV per atom: 716
# Total magnetic moment in μB per atom: 0.000
# Raw formation energy in eV per atom: 1.3243